Entry 1:
This record from the Alexandria database describes an optimized crystal structure of BeSeCl2. The functional is GGA-PBEsol.

extended XYZ file:
```
16
Lattice="6.4839 0.0000 0.0000 0.0000 6.4839 0.0000 0.0000 0.0000 6.4839" Properties=species:S:1:pos:R:3 pbc="T T T"
Be 0.0000 0.0000 0.0000
Be 0.0000 3.2420 3.2420
Be 3.2420 0.0000 3.2420
Be 3.2420 3.2420 0.0000
Se 1.6210 1.6210 1.6210
Se 1.6210 4.8629 4.8629
Se 4.8629 1.6210 4.8629
Se 4.8629 4.8629 1.6210
Cl 0.0000 0.0000 3.2420
Cl 0.0000 3.2420 0.0000
Cl 1.6210 1.6210 4.8629
Cl 1.6210 4.8629 1.6210
Cl 3.2420 0.0000 0.0000
Cl 3.2420 3.2420 3.2420
Cl 4.8629 1.6210 1.6210
Cl 4.8629 4.8629 4.8629
```

Uncorrected energy: -9.78 eV/f.u.
DOS at the Fermi energy: 0.7855 states/eV/atom
Space-group type: No. 216
Energy relative to the lowest polymorph listed for this composition: 393 kJ/mol of formula units



Entry 2:
This record from the Alexandria database describes an optimized crystal structure of Li2SiNiO4. The functional is GGA-PBEsol.

extended XYZ file:
```
16
Lattice="3.5830 -3.8410 0.0000 3.5830 3.8410 0.0000 0.0000 0.0000 6.0832" Properties=species:S:1:pos:R:3 pbc="T T T"
Li 3.5830 2.4047 4.5624
Li 2.2694 0.0000 0.0000
Li 4.8966 0.0000 3.0416
Li 3.5830 -2.4047 1.5208
Si 2.3034 0.0000 3.0416
Si 4.8625 0.0000 0.0000
Ni 3.5830 2.4816 1.5208
Ni 3.5830 -2.4816 4.5624
O 1.3662 0.0253 1.6931
O 1.3662 -0.0253 4.3901
O 3.3213 1.2955 3.0120
O 3.8447 1.2955 0.0296
O 3.3213 -1.2955 3.0712
O 3.8447 -1.2955 6.0536
O 5.7998 0.0253 1.3485
O 5.7998 -0.0253 4.7348
```

Uncorrected energy: -52.68 eV/f.u.
DOS at the Fermi energy: 0.4984 states/eV/atom
Space-group type: No. 20
Energy relative to the lowest polymorph listed for this composition: 21 kJ/mol of formula units



Entry 3:
This record from the Alexandria database describes an optimized crystal structure of ZrMnCr2Si. The functional is GGA-PBEsol.

extended XYZ file:
```
5
Lattice="4.2978 0.0000 0.0000 0.0000 4.2978 0.0000 0.0000 0.0000 4.1972" Properties=species:S:1:pos:R:3 pbc="T T T"
Zr 0.0000 0.0000 0.0000
Mn 2.1489 2.1489 0.0000
Cr 0.0000 2.1489 2.0986
Cr 2.1489 0.0000 2.0986
Si 2.1489 2.1489 2.0986
```

Uncorrected energy: -42.20 eV/f.u.
DOS at the Fermi energy: 0.9760 states/eV/atom
Space-group type: No. 123



Entry 4:
This record from the Alexandria database describes an optimized crystal structure of Nb3PdF. The functional is GGA-PBEsol.

extended XYZ file:
```
5
Lattice="4.2457 0.0000 0.0000 0.0000 4.2457 0.0000 0.0000 0.0000 4.2457" Properties=species:S:1:pos:R:3 pbc="T T T"
Nb 0.0000 0.0000 2.1228
Nb 0.0000 2.1228 0.0000
Nb 2.1228 0.0000 0.0000
Pd 2.1228 2.1228 2.1228
F 0.0000 0.0000 0.0000
```

Uncorrected energy: -40.68 eV/f.u.
DOS at the Fermi energy: 0.9743 states/eV/atom
Space-group type: No. 221



Entry 5:
This record from the Alexandria database describes an optimized crystal structure of Tm. The functional is GGA-PBEsol.

extended XYZ file:
```
9
Lattice="3.4440 0.0000 0.0000 -1.7220 2.9826 0.0000 0.0000 0.0000 24.6992" Properties=species:S:1:pos:R:3 pbc="T T T"
Tm 0.0000 0.0000 0.0000
Tm 0.0000 0.0000 5.4849
Tm 0.0000 0.0000 19.2143
Tm 0.0000 1.9884 10.9813
Tm 0.0000 1.9884 16.4661
Tm 0.0000 1.9884 21.9510
Tm 1.7220 0.9942 2.7482
Tm 1.7220 0.9942 8.2331
Tm 1.7220 0.9942 13.7179
```

Uncorrected energy: -4.90 eV/f.u.
DOS at the Fermi energy: 1.2405 states/eV/atom
Space-group type: No. 166
Energy relative to the lowest polymorph listed for this composition: 0 kJ/mol of formula units



Entry 6:
This record from the Alexandria database describes an optimized crystal structure of Dy3Al12Os4. The functional is GGA-PBEsol.

extended XYZ file:
```
38
Lattice="8.7405 0.0000 0.0000 -4.3702 7.5695 0.0000 0.0000 0.0000 9.5106" Properties=species:S:1:pos:R:3 pbc="T T T"
Dy 0.0000 2.9252 2.3776
Dy -1.8369 6.1069 2.3776
Dy 2.5333 1.4626 7.1329
Dy 1.8369 6.1069 2.3776
Dy 6.2072 1.4626 7.1329
Dy 4.3702 4.6443 7.1329
Al 0.0000 0.0000 2.3776
Al 0.0000 0.0000 7.1329
Al -1.3843 4.2471 7.1329
Al 0.0000 2.4713 5.4720
Al 0.0000 2.4713 8.7939
Al -2.2300 6.3338 5.4720
Al -2.2300 6.3338 8.7939
Al 2.1402 1.2356 0.7167
Al 2.1402 1.2356 4.0386
Al 0.0000 5.0463 0.1771
Al 0.0000 5.0463 4.5782
Al 1.3843 4.2471 7.1329
Al 0.0000 6.6448 7.1329
Al 4.3702 0.9247 2.3776
Al 2.9859 3.3224 2.3776
Al 4.3702 2.5232 4.9324
Al 4.3702 2.5232 9.3335
Al 2.2300 6.3338 5.4720
Al 2.2300 6.3338 8.7939
Al 6.6003 1.2356 0.7167
Al 6.6003 1.2356 4.0386
Al 4.3702 5.0982 0.7167
Al 4.3702 5.0982 4.0386
Al 5.7545 3.3224 2.3776
Os 0.0000 0.0000 0.0000
Os 0.0000 0.0000 4.7553
Os -2.1851 3.7847 0.0000
Os -2.1851 3.7847 4.7553
Os 4.3702 0.0000 0.0000
Os 4.3702 0.0000 4.7553
Os 2.1851 3.7847 0.0000
Os 2.1851 3.7847 4.7553
```

Uncorrected energy: -124.10 eV/f.u.
DOS at the Fermi energy: 0.5101 states/eV/atom
Space-group type: No. 194



Entry 7:
This record from the Alexandria database describes an optimized crystal structure of MnTl3Cd. The functional is GGA-PBEsol.

extended XYZ file:
```
5
Lattice="5.1370 0.0000 0.0000 0.0000 5.1370 0.0000 0.0000 0.0000 5.1370" Properties=species:S:1:pos:R:3 pbc="T T T"
Mn 0.0000 0.0000 0.0000
Tl 0.0000 0.0000 2.5685
Tl 0.0000 2.5685 0.0000
Tl 2.5685 0.0000 0.0000
Cd 2.5685 2.5685 2.5685
```

Uncorrected energy: -16.65 eV/f.u.
DOS at the Fermi energy: 0.6301 states/eV/atom
Space-group type: No. 221
Energy relative to the lowest polymorph listed for this composition: 0 kJ/mol of formula units



Entry 8:
This record from the Alexandria database describes an optimized crystal structure of Ti2CN. The functional is GGA-PBEsol.

extended XYZ file:
```
12
Lattice="3.0045 0.0000 0.0000 -1.5022 2.6020 0.0000 0.0000 0.0000 14.7630" Properties=species:S:1:pos:R:3 pbc="T T T"
Ti 0.0000 0.0000 3.6980
Ti 0.0000 0.0000 11.0650
Ti 0.0000 1.7346 6.1440
Ti 0.0000 1.7346 13.5400
Ti 1.5022 0.8673 1.2230
Ti 1.5022 0.8673 8.6190
C 0.0000 0.0000 0.0000
C 0.0000 1.7346 9.8420
C 1.5022 0.8673 4.9210
N 0.0000 0.0000 7.3815
N 0.0000 1.7346 2.4605
N 1.5022 0.8673 12.3025
```

Uncorrected energy: -40.59 eV/f.u.
DOS at the Fermi energy: 0.2914 states/eV/atom
Space-group type: No. 166



Entry 9:
This record from the Alexandria database describes an optimized crystal structure of Al2NiO4. The functional is GGA-PBEsol.

extended XYZ file:
```
14
Lattice="0.0000 4.0325 4.0325 4.0325 0.0000 4.0325 4.0325 4.0325 0.0000" Properties=species:S:1:pos:R:3 pbc="T T T"
Al 0.0000 0.0000 0.0000
Al 2.0163 2.0163 0.0000
Al 2.0163 0.0000 2.0163
Al 0.0000 2.0163 2.0163
Ni 3.0244 3.0244 3.0244
Ni 5.0407 5.0407 5.0407
O 6.1595 3.9218 3.9218
O 1.9055 1.9055 1.9055
O 4.1433 4.1433 1.9055
O 4.1433 1.9055 4.1433
O 3.9218 6.1595 3.9218
O 3.9218 3.9218 6.1595
O 6.1595 6.1595 6.1595
O 1.9055 4.1433 4.1433
```

Uncorrected energy: -51.47 eV/f.u.
DOS at the Fermi energy: 0.5296 states/eV/atom
Space-group type: No. 227



Entry 10:
This record from the Alexandria database describes an optimized crystal structure of NaAgTe2. The functional is GGA-PBEsol.

extended XYZ file:
```
12
Lattice="3.9236 0.0000 0.0000 -1.9618 3.3980 0.0000 0.0000 0.0000 27.6314" Properties=species:S:1:pos:R:3 pbc="T T T"
Na 0.0000 0.0000 0.0000
Na 0.0000 2.2653 18.4210
Na 1.9618 1.1327 9.2105
Ag 0.0000 0.0000 13.8157
Ag 0.0000 2.2653 4.6053
Ag 1.9618 1.1327 23.0262
Te 0.0000 0.0000 2.9320
Te 0.0000 0.0000 24.6994
Te 0.0000 2.2653 15.4890
Te 0.0000 2.2653 21.3529
Te 1.9618 1.1327 6.2785
Te 1.9618 1.1327 12.1425
```

Uncorrected energy: -11.97 eV/f.u.
DOS at the Fermi energy: 0.7087 states/eV/atom
Space-group type: No. 166
Energy relative to the lowest polymorph listed for this composition: 102 kJ/mol of formula units



Entry 11:
This record from the Alexandria database describes an optimized crystal structure of LaFeIr2. The functional is GGA-PBEsol.

extended XYZ file:
```
4
Lattice="3.0375 0.0000 0.0000 0.0000 3.0375 0.0000 0.0000 0.0000 7.3099" Properties=species:S:1:pos:R:3 pbc="T T T"
La 0.0000 0.0000 0.0000
Fe 0.0000 0.0000 3.6550
Ir 1.5188 1.5188 2.2416
Ir 1.5188 1.5188 5.0683
```

Uncorrected energy: -34.17 eV/f.u.
DOS at the Fermi energy: 0.9049 states/eV/atom
Space-group type: No. 123



Entry 12:
This record from the Alexandria database describes an optimized crystal structure of Al2TlOs. The functional is GGA-PBEsol.

extended XYZ file:
```
16
Lattice="6.4399 0.0000 0.0000 0.0000 6.4399 0.0000 0.0000 0.0000 6.4399" Properties=species:S:1:pos:R:3 pbc="T T T"
Al 0.0000 0.0000 0.0000
Al 0.0000 3.2199 3.2199
Al 1.6100 1.6100 1.6100
Al 1.6100 4.8299 4.8299
Al 3.2199 0.0000 3.2199
Al 3.2199 3.2199 0.0000
Al 4.8299 1.6100 4.8299
Al 4.8299 4.8299 1.6100
Tl 1.6100 1.6100 4.8299
Tl 1.6100 4.8299 1.6100
Tl 4.8299 1.6100 1.6100
Tl 4.8299 4.8299 4.8299
Os 0.0000 0.0000 3.2199
Os 0.0000 3.2199 0.0000
Os 3.2199 0.0000 0.0000
Os 3.2199 3.2199 3.2199
```

Uncorrected energy: -20.81 eV/f.u.
DOS at the Fermi energy: 0.6737 states/eV/atom
Space-group type: No. 216
Energy relative to the lowest polymorph listed for this composition: 128 kJ/mol of formula units